Computed, not measured: crystalline Cr2RePbF at its relaxed geometry at the PBE with a Hubbard U level of DFT.

## Properties
DFT total energy = -6.065 eV per atom
Space-group type = P4/mmm (123)

Cell: 5.1081 4.0387 5.1081 Å, 90.00 90.00 90.00°
With the nearest neighbours (Å) after each atom.
Positions (direct):
Re 0.0000 0.0000 0.0000  2 F 2.02
Cr 0.5000 0.0000 0.0000  2 Re 2.55
Pb 0.5000 0.5000 0.5000  8 Cr 3.26, 4 F 3.61
F 0.0000 0.5000 0.0000  2 Re 2.02
Cr 0.0000 0.0000 0.5000  2 Re 2.55